DFT (PBE-GGA) results for crystalline AcSmTl3 at its relaxed geometry.

## Properties
As for the formation enthalpy at 0 K: -0.228 eV/atom.

a b c (Å): 8.6629 8.8605 8.8605
angles (deg): 80.48 90.00 90.00
With the nearest neighbours (Å) after each atom.
Sites, in units of the cell vectors:
Tl (0.6011, 0.4936, 0.7341)  3 Tl 3.19-3.45, 2 Sm 3.36-3.37, 3 Ac 3.41-3.55
Tl (0.2288, 0.0768, 0.4232)  3 Sm 3.18-3.24, 4 Tl 3.19-3.45, 2 Ac 3.43
Tl (0.8989, 0.9936, 0.2341)  3 Tl 3.19-3.45, 2 Sm 3.36-3.37, 3 Ac 3.41-3.55
Tl (0.7712, 0.9232, 0.5768)  3 Sm 3.18-3.24, 4 Tl 3.19-3.45, 2 Ac 3.43
Ac (0.7500, 0.6245, 0.3755)  8 Tl 3.41-3.55
Tl (0.3989, 0.5064, 0.2659)  3 Tl 3.19-3.45, 2 Sm 3.36-3.37, 3 Ac 3.41-3.55
Tl (0.8989, 0.2659, 0.5064)  3 Tl 3.19-3.45, 2 Sm 3.36-3.37, 3 Ac 3.41-3.55
Sm (0.9237, 0.6650, 0.8350)  7 Tl 3.18-3.37
Sm (0.5763, 0.1650, 0.3350)  7 Tl 3.18-3.37
Ac (0.7500, 0.1245, 0.8755)  8 Tl 3.41-3.55
Tl (0.2712, 0.5768, 0.9232)  3 Sm 3.18-3.24, 4 Tl 3.19-3.45, 2 Ac 3.43
Tl (0.6011, 0.7659, 0.0064)  3 Tl 3.19-3.45, 2 Sm 3.36-3.37, 3 Ac 3.41-3.55
Ac (0.2500, 0.3755, 0.6245)  8 Tl 3.41-3.55
Ac (0.2500, 0.8755, 0.1245)  8 Tl 3.41-3.55
Sm (0.4237, 0.8350, 0.6650)  7 Tl 3.18-3.37
Tl (0.1011, 0.7341, 0.4936)  3 Tl 3.19-3.45, 2 Sm 3.36-3.37, 3 Ac 3.41-3.55
Tl (0.3989, 0.2341, 0.9936)  3 Tl 3.19-3.45, 2 Sm 3.36-3.37, 3 Ac 3.41-3.55
Tl (0.7288, 0.4232, 0.0768)  3 Sm 3.18-3.24, 4 Tl 3.19-3.45, 2 Ac 3.43
Tl (0.1011, 0.0064, 0.7659)  3 Tl 3.19-3.45, 2 Sm 3.36-3.37, 3 Ac 3.41-3.55
Sm (0.0763, 0.3350, 0.1650)  7 Tl 3.18-3.37